{"formula": "BaCdSO", "functional": "PBE", "state": "relaxed", "cell": [[7.592, 0.000, 0.000], [0.000, 7.028, 0.000], [0.000, 0.000, 7.073]], "species": ["Ba", "O", "S", "O", "S", "Cd", "S", "S", "Cd", "Cd", "Ba", "Cd", "Ba", "O", "O", "Ba"], "fractional_positions": [[0.195, 0.636, 0.952], [0.067, 0.373, 0.720], [0.408, 0.960, 0.717], [0.433, 0.627, 0.220], [0.592, 0.460, 0.783], [0.362, 0.888, 0.373], [0.908, 0.540, 0.283], [0.092, 0.040, 0.217], [0.638, 0.388, 0.127], [0.138, 0.112, 0.873], [0.805, 0.136, 0.548], [0.862, 0.612, 0.627], [0.305, 0.364, 0.452], [0.933, 0.873, 0.780], [0.567, 0.127, 0.280], [0.695, 0.864, 0.048]]}


{"formula": "CsSmC2O6", "functional": "PBE", "state": "relaxed", "cell": [[4.472, -4.742, 0.000], [4.472, 4.742, 0.000], [-2.488, 0.000, 6.661]], "species": ["C", "O", "O", "Sm", "O", "O", "O", "C", "Sm", "Cs", "O", "O", "O", "Cs", "C", "O", "C", "O", "O", "O"], "fractional_positions": [[0.395, 0.154, 0.748], [0.532, 0.295, 0.896], [0.730, 0.770, 0.382], [0.399, 0.601, 0.750], [0.045, 0.610, 0.768], [0.955, 0.390, 0.232], [0.295, 0.532, 0.396], [0.846, 0.605, 0.752], [0.601, 0.399, 0.250], [0.891, 0.109, 0.750], [0.468, 0.705, 0.104], [0.610, 0.045, 0.268], [0.770, 0.730, 0.882], [0.109, 0.891, 0.250], [0.605, 0.846, 0.252], [0.705, 0.468, 0.604], [0.154, 0.395, 0.248], [0.230, 0.270, 0.118], [0.270, 0.230, 0.618], [0.390, 0.955, 0.732]]}


{"formula": "TmInGaSe3", "functional": "PBE", "state": "relaxed", "cell": [[-0.740, 5.464, -4.660], [-1.012, -7.099, 0.841], [-9.877, 1.851, 3.738]], "species": ["Tm", "Ga", "In", "In", "Se", "Se", "Se", "Ga", "Se", "Se", "Se", "Tm"], "fractional_positions": [[0.000, 0.000, 0.000], [0.480, 0.520, 0.750], [0.260, 0.740, 0.250], [0.740, 0.260, 0.750], [0.069, 0.931, 0.750], [0.629, 0.371, 0.439], [0.371, 0.629, 0.561], [0.520, 0.480, 0.250], [0.629, 0.371, 0.061], [0.931, 0.069, 0.250], [0.371, 0.629, 0.939], [0.000, 0.000, 0.500]]}


{"formula": "Er6Ni2Hg", "functional": "PBE", "state": "relaxed", "cell": [[-4.598, 4.782, 4.965], [4.598, -4.782, 4.965], [4.598, 4.782, -4.965]], "species": ["Er", "Er", "Er", "Ni", "Er", "Hg", "Er", "Hg", "Er", "Ni", "Er", "Ni", "Er", "Ni", "Er", "Er", "Er", "Er"], "fractional_positions": [[0.817, 0.710, 0.528], [0.183, 0.290, 0.472], [0.674, 0.981, 0.306], [0.645, 0.000, 0.645], [0.435, 0.235, 0.200], [0.500, 0.500, 0.000], [0.565, 0.765, 0.800], [0.000, 0.000, 0.000], [0.965, 0.765, 0.200], [0.123, 0.623, 0.500], [0.326, 0.632, 0.306], [0.877, 0.377, 0.500], [0.817, 0.290, 0.107], [0.355, 0.000, 0.355], [0.326, 0.019, 0.694], [0.035, 0.235, 0.800], [0.183, 0.710, 0.893], [0.674, 0.368, 0.694]], "e_form_kj_per_mol_fu": -311}


{"formula": "KTmPa", "functional": "PBE", "state": "relaxed", "cell": [[0.000, 3.993, 3.993], [3.993, 0.000, 3.993], [3.993, 3.993, 0.000]], "species": ["K", "Tm", "Pa"], "fractional_positions": [[0.250, 0.250, 0.250], [0.000, 0.000, 0.000], [0.750, 0.750, 0.750]]}


{"formula": "KDyTe3Pd", "functional": "PBE", "state": "relaxed", "cell": [[10.088, 0.000, 0.000], [0.000, 4.434, 0.000], [0.000, 0.000, 17.637]], "species": ["Te", "Pd", "K", "Pd", "Te", "K", "Dy", "Te", "Te", "Te", "Pd", "Dy", "Te", "Dy", "Te", "Te", "Te", "Te", "Te", "Te", "Dy", "Pd", "K", "K"], "fractional_positions": [[0.600, 0.750, 0.635], [0.239, 0.250, 0.244], [0.236, 0.750, 0.496], [0.739, 0.250, 0.256], [0.427, 0.750, 0.862], [0.264, 0.250, 0.996], [0.985, 0.750, 0.249], [0.400, 0.250, 0.365], [0.900, 0.250, 0.135], [0.927, 0.750, 0.638], [0.261, 0.750, 0.744], [0.515, 0.250, 0.749], [0.100, 0.750, 0.865], [0.485, 0.750, 0.251], [0.073, 0.250, 0.362], [0.573, 0.250, 0.138], [0.236, 0.750, 0.151], [0.736, 0.750, 0.349], [0.764, 0.250, 0.849], [0.264, 0.250, 0.651], [0.015, 0.250, 0.751], [0.761, 0.750, 0.756], [0.736, 0.750, 0.004], [0.764, 0.250, 0.504]]}


{"formula": "As2PtO", "functional": "PBE", "state": "relaxed", "cell": [[3.276, 0.000, 0.000], [0.000, 5.932, 0.000], [0.000, 0.000, 7.014]], "species": ["O", "As", "Pt", "As", "O", "As", "Pt", "As"], "fractional_positions": [[0.000, 0.179, 0.774], [0.500, 0.345, 0.383], [0.500, 0.287, 0.048], [0.000, 0.040, 0.550], [0.000, 0.821, 0.274], [0.500, 0.655, 0.883], [0.500, 0.713, 0.548], [0.000, 0.960, 0.050]]}


{"formula": "TbHfPbC", "functional": "PBE", "state": "relaxed", "cell": [[-1.297, -0.879, -3.109], [-0.830, -1.862, 2.822], [-12.252, 9.248, 2.498]], "species": ["Hf", "Pb", "Hf", "Tb", "C", "C", "Pb", "Tb"], "fractional_positions": [[0.667, 0.333, 0.160], [0.333, 0.667, 0.000], [0.667, 0.333, 0.840], [0.333, 0.667, 0.325], [0.000, 0.000, 0.229], [0.000, 0.000, 0.771], [0.667, 0.333, 0.500], [0.333, 0.667, 0.675]]}


{"formula": "SrEr3P", "functional": "PBE", "state": "relaxed", "cell": [[-5.218, -0.567, 1.418], [0.870, -5.252, 1.103], [1.255, 1.286, 5.131]], "species": ["Sr", "Er", "P", "Er", "Er"], "fractional_positions": [[0.000, 0.000, 0.000], [0.500, 0.500, 0.000], [0.500, 0.500, 0.500], [0.500, 0.000, 0.500], [0.000, 0.500, 0.500]]}


{"formula": "ZrBr2", "functional": "PBE", "state": "relaxed", "cell": [[-0.296, -4.784, 0.257], [-3.486, -2.318, -2.348], [1.063, -2.680, -3.838]], "species": ["Zr", "Br", "Br"], "fractional_positions": [[0.000, 0.000, 0.000], [0.250, 0.250, 0.250], [0.750, 0.750, 0.750]]}


{"formula": "HoMgNO", "functional": "PBE", "state": "relaxed", "cell": [[-4.505, 0.898, -0.970], [-1.252, -1.796, 4.154], [0.406, 4.073, 1.883]], "species": ["O", "Mg", "O", "N", "N", "Ho", "Mg", "Ho"], "fractional_positions": [[0.750, 0.250, 0.000], [0.250, 0.250, 0.997], [0.250, 0.750, 0.000], [0.750, 0.750, 0.499], [0.250, 0.250, 0.501], [0.250, 0.750, 0.500], [0.750, 0.750, 0.003], [0.750, 0.250, 0.500]]}


{"formula": "ScGeOs", "functional": "PBE", "state": "relaxed", "cell": [[0.000, 3.089, 3.089], [3.089, 0.000, 3.089], [3.089, 3.089, 0.000]], "species": ["Ge", "Sc", "Os"], "fractional_positions": [[0.250, 0.250, 0.250], [0.000, 0.000, 0.000], [0.750, 0.750, 0.750]]}


no.,DFT total energy (eV for the cell shown)
1,-72.194
2,-149.647
3,-52.055
4,-84.063
5,-9.768
6,-104.632
7,-42.514
8,-59.581
9,-22.621
10,-14.150
11,-55.536
12,-20.846